A plane-wave DFT calculation with PBE was carried out for BaAgRh2 after structural relaxation. Values from VASP.

## Properties
The value obtained for the volume is 83.1 Å³ per cell. The magnetic moment is 0.82 Bohr magnetons per cell. The value obtained for the energy of formation is 1.45 eV/f.u. As for the symmetry: P4/mmm, No. 123.

The structure in Quantum ESPRESSO input format:
```
&SYSTEM
  ibrav = 0, nat = 4, ntyp = 3
/
ATOMIC_SPECIES
Rh 102.91 Rh.upf
Ag 107.87 Ag.upf
Ba 137.33 Ba.upf
ATOMIC_POSITIONS angstrom
Rh 0.0000 0.0000 0.0000
Ag -1.3164 -2.7463 -0.4420
Rh -0.4333 -1.9324 2.3893
Ba 1.7002 -2.5497 0.2592
CELL_PARAMETERS angstrom
-3.4500 -2.1290 1.6881
0.8172 -3.3636 -2.5721
2.5833 -1.7357 3.0906
```

---

A plane-wave DFT calculation with PBE was carried out for Ba4Ag2Rh after structural relaxation. Values from VASP.

## Properties
The value obtained for the volume is 276.6 Å³ per cell. The magnetic moment is 0.00 Bohr magnetons per cell. For the relative energy among the computed polymorphs, the calculation gives 0 meV/atom. The value obtained for the energy of formation is -1.44 eV/f.u. As for the symmetry: C2/m, No. 12.

The structure in Quantum ESPRESSO input format:
```
&SYSTEM
  ibrav = 0, nat = 7, ntyp = 3
/
ATOMIC_SPECIES
Ba 137.33 Ba.upf
Ag 107.87 Ag.upf
Rh 102.91 Rh.upf
ATOMIC_POSITIONS angstrom
Ba 2.0963 -0.4566 2.1729
Ba 0.6931 -3.3084 5.2884
Ba 5.3920 -2.7071 0.0758
Ag -1.2027 -0.6039 4.1269
Rh 0.0000 0.0000 0.0000
Ba -2.6026 -1.0579 7.3856
Ag 3.9921 -3.1611 3.3344
CELL_PARAMETERS angstrom
-0.2391 -4.7077 -0.7586
6.8888 -0.1776 -1.0693
-3.8603 1.1203 9.2892
```

---

A plane-wave DFT calculation with PBE was carried out for BaAgRh2 after structural relaxation. Values from VASP.

## Properties
The value obtained for the volume is 83.4 Å³ per cell. The magnetic moment is 0.85 Bohr magnetons per cell. The value obtained for the energy of formation is 1.58 eV/f.u. As for the symmetry: I-4m2, No. 119.

The structure in Quantum ESPRESSO input format:
```
&SYSTEM
  ibrav = 0, nat = 4, ntyp = 3
/
ATOMIC_SPECIES
Rh 102.91 Rh.upf
Ag 107.87 Ag.upf
Ba 137.33 Ba.upf
ATOMIC_POSITIONS angstrom
Rh 0.0000 0.0000 0.0000
Ag 0.0000 0.0000 4.2129
Ba 0.0000 2.2241 2.1064
Rh 2.2241 0.0000 2.1064
CELL_PARAMETERS angstrom
-2.2241 2.2241 4.2129
2.2241 -2.2241 4.2129
2.2241 2.2241 -4.2129
```

---

A plane-wave DFT calculation with PBE was carried out for BaAgRh2 after structural relaxation. Values from VASP.

## Properties
The value obtained for the volume is 86.6 Å³ per cell. The magnetic moment is 0.00 Bohr magnetons per cell. The value obtained for the energy of formation is 0.87 eV/f.u. As for the symmetry: Pmm2, No. 25.

The structure in Quantum ESPRESSO input format:
```
&SYSTEM
  ibrav = 0, nat = 4, ntyp = 3
/
ATOMIC_SPECIES
Rh 102.91 Rh.upf
Ba 137.33 Ba.upf
Ag 107.87 Ag.upf
ATOMIC_POSITIONS angstrom
Rh -0.5379 -0.1911 -0.0389
Ba -5.1166 -2.3550 -2.7579
Ag -3.0952 -1.0996 -0.2237
Rh -1.1776 -0.9556 -2.4732
CELL_PARAMETERS angstrom
-0.4853 1.8615 -2.4362
1.1277 -2.7078 -2.2936
-7.0464 -2.5033 -0.5092
```

---

A plane-wave DFT calculation with PBE was carried out for BaAgRh2 after structural relaxation. Values from VASP.

## Properties
The value obtained for the volume is 101.5 Å³ per cell. The magnetic moment is 0.00 Bohr magnetons per cell. The value obtained for the energy of formation is 0.02 eV/f.u. As for the symmetry: R-3m, No. 166.

The structure in Quantum ESPRESSO input format:
```
&SYSTEM
  ibrav = 0, nat = 4, ntyp = 3
/
ATOMIC_SPECIES
Ag 107.87 Ag.upf
Rh 102.91 Rh.upf
Ba 137.33 Ba.upf
ATOMIC_POSITIONS angstrom
Ag -1.6604 -6.6335 4.5849
Rh -0.5983 -2.3904 1.6522
Rh -2.7224 -10.8767 7.5177
Ba 0.0000 0.0000 0.0000
CELL_PARAMETERS angstrom
-3.6007 -4.4540 2.1077
0.8174 -5.7750 1.7965
-0.5374 -3.0381 5.2656
```

---

A plane-wave DFT calculation with PBE was carried out for Ba4AgRh after structural relaxation. Values from VASP.

## Properties
The value obtained for the volume is 561.6 Å³ per cell. The magnetic moment is 0.01 Bohr magnetons per cell. For the relative energy among the computed polymorphs, the calculation gives 0 meV/atom. The value obtained for the energy of formation is -1.02 eV/f.u. As for the symmetry: C2/c, No. 15.

The structure in Quantum ESPRESSO input format:
```
&SYSTEM
  ibrav = 0, nat = 12, ntyp = 3
/
ATOMIC_SPECIES
Rh 102.91 Rh.upf
Ba 137.33 Ba.upf
Ag 107.87 Ag.upf
ATOMIC_POSITIONS angstrom
Rh -2.9470 4.1210 7.6136
Ba 3.5568 1.5673 0.9635
Ba 0.4074 -2.2339 5.5944
Rh 5.9696 -0.3863 1.3629
Ba 2.6152 5.9686 3.3820
Ag 1.9899 -0.1288 7.6100
Ag 1.0328 3.8635 1.3664
Ba 3.5723 1.9764 5.5944
Ba -0.5342 2.1674 8.0130
Ba 4.5139 -2.4250 8.0130
Ba -1.4913 6.1596 0.9635
Ba -0.5497 1.7583 3.3820
CELL_PARAMETERS angstrom
7.9595 -0.5151 0.0000
-1.9142 7.9844 0.0000
-3.0227 -3.7347 8.9765
```

---

Number 5 is which compound? BaAgRh2